VASP calculation (PBE+U) on a relaxed structure of Na2MnVF6.

Cell lengths 5.5923, 5.8096, 8.0669 Å; angles 90.00, 90.07, 90.00 degrees
With the nearest neighbours (Å) after each atom.
Fractional positions:
Mn  0.5000  0.0000  0.0000  6 F 2.13-2.15
Mn  0.0000  0.5000  0.5000  6 F 2.13-2.15
F  0.8074  0.8046  0.5621  1 V 2.12, 1 Mn 2.13, 1 Na 2.33
F  0.1910  0.1969  0.0623  1 V 2.12, 1 Mn 2.13, 1 Na 2.33
F  0.6926  0.3046  0.9379  1 V 2.12, 1 Mn 2.13, 1 Na 2.33
F  0.3090  0.6969  0.4377  1 V 2.12, 1 Mn 2.13, 1 Na 2.33
F  0.3074  0.6954  0.0621  1 V 2.12, 1 Mn 2.13, 1 Na 2.33
F  0.1179  0.4474  0.7514  1 V 2.13, 1 Mn 2.15, 2 Na 2.31-2.39
F  0.3822  0.9474  0.7486  1 V 2.13, 1 Mn 2.15, 2 Na 2.31-2.39
F  0.8821  0.5526  0.2486  1 V 2.13, 1 Mn 2.15, 2 Na 2.31-2.39
F  0.6178  0.0526  0.2514  1 V 2.13, 1 Mn 2.15, 2 Na 2.31-2.39
F  0.6910  0.3031  0.5623  1 V 2.12, 1 Mn 2.13, 1 Na 2.33
F  0.1926  0.1954  0.4379  1 V 2.12, 1 Mn 2.13, 1 Na 2.33
F  0.8090  0.8031  0.9377  1 V 2.12, 1 Mn 2.13, 1 Na 2.33
Na  0.9847  0.0566  0.7499  4 F 2.31-2.39
Na  0.4847  0.4434  0.2499  4 F 2.31-2.39
Na  0.5153  0.5566  0.7501  4 F 2.31-2.39
Na  0.0153  0.9434  0.2501  4 F 2.31-2.39
V  0.5000  0.0000  0.5000  6 F 2.12-2.13
V  0.0000  0.5000  0.0000  6 F 2.12-2.13

magnetization = 8.00 μB per formula unit
uncorrected energy = -56.0 eV per formula unit
space group = No. 14